P:
Entry from Alexandria: a relaxed structure of CdNi2Br (GGA-PBE).

Spin magnetization in μB/f.u.: 0.5

Unit cell a=3.1190 b=4.3599 c=11.0924 alpha=90.00 beta=90.00 gamma=90.00
Space group Imm2 (No. 44)
Unique sites:
Cd: 0.0000 0.0000 0.0000 (multiplicity 2)
Ni: 0.0000 0.0000 0.5446 (multiplicity 2)
Ni: 0.0000 0.5000 0.8766 (multiplicity 2)
Br: 0.0000 0.5000 0.2209 (multiplicity 2)

=====

Q:
Entry from Alexandria: a relaxed structure of CdNi2Br (GGA-PBE).

Spin magnetization in μB/f.u.: 0.0

Unit cell a=4.6186 b=4.6186 c=14.8732 alpha=90.00 beta=90.00 gamma=90.00
Space group I-42d (No. 122)
Unique sites:
Cd: 0.0000 0.0000 0.0000 (multiplicity 4)
Ni: 0.1447 0.2500 0.6250 (multiplicity 8)
Br: 0.0000 0.0000 0.5000 (multiplicity 4)

=====

R:
Entry from Alexandria: a relaxed structure of CdNi2Br (GGA-PBE).

Spin magnetization in μB/f.u.: 0.4

Unit cell a=6.3808 b=6.3808 c=6.3808 alpha=90.00 beta=90.00 gamma=90.00
Space group Fm-3m (No. 225)
Unique sites:
Cd: 0.0000 0.0000 0.0000 (multiplicity 4)
Ni: 0.2500 0.2500 0.2500 (multiplicity 8)
Br: 0.0000 0.0000 0.5000 (multiplicity 4)

=====

Which of them is the most stable? Correct choice: P.

=====

P:
Entry from Alexandria: a relaxed structure of CdNi2Br (GGA-PBE).

Spin magnetization in μB/f.u.: 0.5

Unit cell a=6.4748 b=6.4748 c=6.4748 alpha=90.00 beta=90.00 gamma=90.00
Space group F-43m (No. 216)
Unique sites:
Cd: 0.0000 0.0000 0.0000 (multiplicity 4)
Ni: 0.0000 0.0000 0.5000 (multiplicity 4)
Ni: 0.2500 0.2500 0.7500 (multiplicity 4)
Br: 0.2500 0.2500 0.2500 (multiplicity 4)

=====

Q:
Entry from Alexandria: a relaxed structure of CdNi2Br (GGA-PBE).

Spin magnetization in μB/f.u.: 0.0

Unit cell a=4.4370 b=4.4370 c=3.2549 alpha=90.00 beta=90.00 gamma=90.00
Space group P4/mmm (No. 123)
Unique sites:
Cd: 0.0000 0.0000 0.0000 (multiplicity 1)
Ni: 0.0000 0.5000 0.5000 (multiplicity 2)
Br: 0.5000 0.5000 0.0000 (multiplicity 1)

=====

Which of them is the most stable? Correct choice: Q.

=====

P:
Entry from Alexandria: a relaxed structure of Cd3NiBr (GGA-PBE).

Spin magnetization in μB/f.u.: 0.0

Unit cell a=5.5977 b=5.5977 c=5.5977 alpha=90.00 beta=90.00 gamma=90.00
Space group Pm-3m (No. 221)
Unique sites:
Cd: 0.0000 0.0000 0.5000 (multiplicity 3)
Ni: 0.5000 0.5000 0.5000 (multiplicity 1)
Br: 0.0000 0.0000 0.0000 (multiplicity 1)

=====

Q:
Entry from Alexandria: a relaxed structure of Cd3NiBr (GGA-PBE).

Spin magnetization in μB/f.u.: 0.0

Unit cell a=5.0808 b=5.0808 c=5.0808 alpha=90.00 beta=90.00 gamma=90.00
Space group Pm-3m (No. 221)
Unique sites:
Cd: 0.0000 0.0000 0.5000 (multiplicity 3)
Ni: 0.0000 0.0000 0.0000 (multiplicity 1)
Br: 0.5000 0.5000 0.5000 (multiplicity 1)

=====

Which of them is the most stable? Correct choice: Q.

=====

P:
Entry from Alexandria: a relaxed structure of CdNi3Br (GGA-PBE).

Spin magnetization in μB/f.u.: 0.0

Unit cell a=4.4076 b=4.4076 c=4.4076 alpha=90.00 beta=90.00 gamma=90.00
Space group Pm-3m (No. 221)
Unique sites:
Cd: 0.0000 0.0000 0.0000 (multiplicity 1)
Ni: 0.0000 0.5000 0.5000 (multiplicity 3)
Br: 0.5000 0.5000 0.5000 (multiplicity 1)

=====

Q:
Entry from Alexandria: a relaxed structure of CdNi3Br (GGA-PBE).

Spin magnetization in μB/f.u.: 1.3

Unit cell a=4.7915 b=4.7915 c=4.7915 alpha=90.00 beta=90.00 gamma=90.00
Space group Pm-3m (No. 221)
Unique sites:
Cd: 0.0000 0.0000 0.0000 (multiplicity 1)
Ni: 0.0000 0.0000 0.5000 (multiplicity 3)
Br: 0.5000 0.5000 0.5000 (multiplicity 1)

=====

Which of them is the most stable? Correct choice: P.

=====

P:
Entry from Alexandria: a relaxed structure of Rb2CdNiBr6 (GGA-PBE).

Spin magnetization in μB/f.u.: 2.0

Unit cell a=10.7512 b=10.7512 c=10.7512 alpha=90.00 beta=90.00 gamma=90.00
Space group Fm-3m (No. 225)
Unique sites:
Rb: 0.2500 0.2500 0.2500 (multiplicity 8)
Cd: 0.0000 0.0000 0.0000 (multiplicity 4)
Ni: 0.0000 0.0000 0.5000 (multiplicity 4)
Br: 0.0000 0.0000 0.2607 (multiplicity 24)

=====

Q:
Entry from Alexandria: a relaxed structure of Rb2CdNiBr6 (GGA-PBE).

Spin magnetization in μB/f.u.: 1.9

Unit cell a=7.6072 b=7.6072 c=38.6074 alpha=90.00 beta=90.00 gamma=120.00
Space group R-3m (No. 166, hexagonal axes)
Unique sites:
Rb: 0.0000 0.0000 0.1218 (multiplicity 6)
Rb: 0.0000 0.0000 0.2967 (multiplicity 6)
Cd: 0.0000 0.0000 0.4142 (multiplicity 6)
Ni: 0.0000 0.0000 0.0000 (multiplicity 3)
Ni: 0.0000 0.0000 0.5000 (multiplicity 3)
Br: 0.0137 0.5069 0.1275 (multiplicity 18)
Br: 0.0159 0.5079 0.7058 (multiplicity 18)

=====

Which of them is the most stable? Correct choice: Q.

=====

P:
Entry from Alexandria: a relaxed structure of NpCdBr6 (GGA-PBE).

Spin magnetization in μB/f.u.: 3.0

Unit cell a=6.9880 b=6.9880 c=19.1988 alpha=90.00 beta=90.00 gamma=120.00
Space group R-3 (No. 148, hexagonal axes)
Unique sites:
Np: 0.0000 0.0000 0.0000 (multiplicity 3)
Cd: 0.0000 0.0000 0.5000 (multiplicity 3)
Br: 0.0050 0.3439 0.7499 (multiplicity 18)

=====

Q:
Entry from Alexandria: a relaxed structure of NpCdBr6 (GGA-PBE).

Spin magnetization in μB/f.u.: 3.0

Unit cell a=6.9643 b=13.0354 c=6.9622 alpha=90.00 beta=109.61 gamma=90.00
Space group C2/m (No. 12)
Unique sites:
Np: 0.0000 0.0000 0.0000 (multiplicity 2)
Cd: 0.0000 0.5000 0.5000 (multiplicity 2)
Br: 0.2405 0.0000 0.7607 (multiplicity 4)
Br: 0.2468 0.3510 0.7460 (multiplicity 8)

=====

Which of them is the most stable? Correct choice: Q.

=====

P:
Entry from Alexandria: a relaxed structure of Cd2BrO (GGA-PBE).

Spin magnetization in μB/f.u.: 0.0

Unit cell a=5.9897 b=5.9897 c=11.3243 alpha=90.00 beta=90.00 gamma=90.00
Space group I-42d (No. 122)
Unique sites:
Cd: 0.1435 0.2500 0.1250 (multiplicity 8)
Br: 0.0000 0.0000 0.5000 (multiplicity 4)
O: 0.0000 0.0000 0.0000 (multiplicity 4)

=====

Q:
Entry from Alexandria: a relaxed structure of Cd2BrO (GGA-PBE).

Spin magnetization in μB/f.u.: 0.0

Unit cell a=3.8661 b=3.8661 c=22.2682 alpha=90.00 beta=90.00 gamma=120.00
Space group R3m (No. 160, hexagonal axes)
Unique sites:
Cd: 0.0000 0.0000 0.0000 (multiplicity 3)
Cd: 0.0000 0.0000 0.4516 (multiplicity 3)
Br: 0.0000 0.0000 0.8680 (multiplicity 3)
O: 0.0000 0.0000 0.3513 (multiplicity 3)

=====

Which of them is the most stable? Correct choice: P.

=====

P:
Entry from Alexandria: a relaxed structure of Cd2BrO (GGA-PBE).

Spin magnetization in μB/f.u.: 0.0

Unit cell a=6.7617 b=6.7617 c=6.7617 alpha=90.00 beta=90.00 gamma=90.00
Space group Fm-3m (No. 225)
Unique sites:
Cd: 0.2500 0.2500 0.2500 (multiplicity 8)
Br: 0.0000 0.0000 0.0000 (multiplicity 4)
O: 0.0000 0.0000 0.5000 (multiplicity 4)

=====

Q:
Entry from Alexandria: a relaxed structure of Cd2BrO (GGA-PBE).

Spin magnetization in μB/f.u.: 0.0

Unit cell a=3.7594 b=3.7594 c=19.8468 alpha=90.00 beta=90.00 gamma=120.00
Space group R-3m (No. 166, hexagonal axes)
Unique sites:
Cd: 0.0000 0.0000 0.2246 (multiplicity 6)
Br: 0.0000 0.0000 0.0000 (multiplicity 3)
O: 0.0000 0.0000 0.5000 (multiplicity 3)

=====

Which of them is the most stable? Correct choice: Q.

=====

P:
Entry from Alexandria: a relaxed structure of CdBr2O (GGA-PBE).

Spin magnetization in μB/f.u.: 2.0

Unit cell a=4.5642 b=4.5642 c=24.2086 alpha=90.00 beta=90.00 gamma=120.00
Space group R-3m (No. 166, hexagonal axes)
Unique sites:
Cd: 0.0000 0.0000 0.0000 (multiplicity 3)
Br: 0.0000 0.0000 0.1000 (multiplicity 6)
O: 0.0000 0.0000 0.5000 (multiplicity 3)

=====

Q:
Entry from Alexandria: a relaxed structure of CdBr2O (GGA-PBE).

Spin magnetization in μB/f.u.: 2.0

Unit cell a=6.9727 b=6.9727 c=6.9727 alpha=90.00 beta=90.00 gamma=90.00
Space group Fm-3m (No. 225)
Unique sites:
Cd: 0.0000 0.0000 0.0000 (multiplicity 4)
Br: 0.2500 0.2500 0.2500 (multiplicity 8)
O: 0.0000 0.0000 0.5000 (multiplicity 4)

=====

R:
Entry from Alexandria: a relaxed structure of CdBr2O (GGA-PBE).

Spin magnetization in μB/f.u.: 2.0

Unit cell a=5.9286 b=5.9286 c=13.7485 alpha=90.00 beta=90.00 gamma=90.00
Space group I-42d (No. 122)
Unique sites:
Cd: 0.0000 0.0000 0.0000 (multiplicity 4)
Br: 0.2415 0.2500 0.1250 (multiplicity 8)
O: 0.0000 0.0000 0.5000 (multiplicity 4)

=====

Which of them is the most stable? Correct choice: R.

=====

P:
Entry from Alexandria: a relaxed structure of Cd3BrO (GGA-PBE).

Spin magnetization in μB/f.u.: 0.0

Unit cell a=4.8522 b=4.8522 c=4.8522 alpha=90.00 beta=90.00 gamma=90.00
Space group Pm-3m (No. 221)
Unique sites:
Cd: 0.0000 0.0000 0.5000 (multiplicity 3)
Br: 0.5000 0.5000 0.5000 (multiplicity 1)
O: 0.0000 0.0000 0.0000 (multiplicity 1)

=====

Q:
Entry from Alexandria: a relaxed structure of Cd3BrO (GGA-PBE).

Spin magnetization in μB/f.u.: 0.0

Unit cell a=5.6618 b=5.6618 c=5.6618 alpha=90.00 beta=90.00 gamma=90.00
Space group Pm-3m (No. 221)
Unique sites:
Cd: 0.0000 0.0000 0.5000 (multiplicity 3)
Br: 0.0000 0.0000 0.0000 (multiplicity 1)
O: 0.5000 0.5000 0.5000 (multiplicity 1)

=====

Which of them is the most stable? Correct choice: P.

=====

P:
Entry from Alexandria: a relaxed structure of Cd2OsBr (GGA-PBE).

Spin magnetization in μB/f.u.: 0.4

Unit cell a=6.0355 b=8.3321 c=3.1172 alpha=90.00 beta=90.00 gamma=90.00
Space group Cmmm (No. 65)
Unique sites:
Cd: 0.2500 0.2500 0.0000 (multiplicity 4)
Os: 0.0000 0.0000 0.5000 (multiplicity 2)
Br: 0.0000 0.5000 0.5000 (multiplicity 2)

=====

Q:
Entry from Alexandria: a relaxed structure of Cd2OsBr (GGA-PBE).

Spin magnetization in μB/f.u.: 0.8

Unit cell a=3.0539 b=3.3054 c=8.4769 alpha=90.00 beta=90.06 gamma=90.00
Space group P2/m (No. 10)
Unique sites:
Cd: 0.0009 0.0000 0.2077 (multiplicity 2)
Os: 0.5000 0.5000 0.0000 (multiplicity 1)
Br: 0.0000 0.5000 0.5000 (multiplicity 1)

=====

R:
Entry from Alexandria: a relaxed structure of Cd2OsBr (GGA-PBE).

Spin magnetization in μB/f.u.: 0.0

Unit cell a=3.0463 b=3.0463 c=31.7972 alpha=90.00 beta=90.00 gamma=120.00
Space group R3m (No. 160, hexagonal axes)
Unique sites:
Cd: 0.0000 0.0000 0.0000 (multiplicity 3)
Cd: 0.0000 0.0000 0.2441 (multiplicity 3)
Os: 0.0000 0.0000 0.7391 (multiplicity 3)
Br: 0.0000 0.0000 0.4658 (multiplicity 3)

=====

S:
Entry from Alexandria: a relaxed structure of Cd2OsBr (GGA-PBE).

Spin magnetization in μB/f.u.: 0.6

Unit cell a=3.2945 b=3.2945 c=26.4460 alpha=90.00 beta=90.00 gamma=120.00
Space group R-3m (No. 166, hexagonal axes)
Unique sites:
Cd: 0.0000 0.0000 0.2446 (multiplicity 6)
Os: 0.0000 0.0000 0.5000 (multiplicity 3)
Br: 0.0000 0.0000 0.0000 (multiplicity 3)

=====

Which of them is the most stable? Correct choice: Q.

=====

P:
Entry from Alexandria: a relaxed structure of Cd2OsBr (GGA-PBE).

Spin magnetization in μB/f.u.: 1.1

Unit cell a=4.1741 b=4.1741 c=9.2740 alpha=90.00 beta=90.00 gamma=90.00
Space group I-4m2 (No. 119)
Unique sites:
Cd: 0.0000 0.0000 0.0000 (multiplicity 2)
Cd: 0.0000 0.5000 0.2500 (multiplicity 2)
Os: 0.0000 0.5000 0.7500 (multiplicity 2)
Br: 0.0000 0.0000 0.5000 (multiplicity 2)

=====

Q:
Entry from Alexandria: a relaxed structure of Cd2OsBr (GGA-PBE).

Spin magnetization in μB/f.u.: 0.0

Unit cell a=2.9330 b=5.4845 c=10.6263 alpha=90.00 beta=90.00 gamma=90.00
Space group Cmm2 (No. 35)
Unique sites:
Cd: 0.0000 0.0000 0.0000 (multiplicity 2)
Cd: 0.0000 0.5000 0.2618 (multiplicity 2)
Os: 0.0000 0.5000 0.7741 (multiplicity 2)
Br: 0.0000 0.0000 0.5844 (multiplicity 2)

=====

Which of them is the most stable? Correct choice: Q.